[1]
In2RuF | PBEsol | relaxed

Properties
ΔE_f (raw)	-0.235	eV/atom
SG	No. 225

Cell and atoms, written as POSCAR:
```
In2RuF
1.0
4.5342 0.0000 0.0000
2.2671 3.9267 0.0000
2.2671 1.3089 3.7022
In Ru F
2 1 1
direct
0.7500 0.7500 0.7500
0.2500 0.2500 0.2500
0.5000 0.5000 0.5000
0.0000 0.0000 0.0000
```

=====

[2]
SmYRh2 | PBEsol | relaxed

Properties
formation energy	-0.7285	eV per atom
SG	No. 225

Cell and atoms, written as POSCAR:
```
SmYRh2
1.0
4.8242 0.0000 0.0000
2.4121 4.1779 0.0000
2.4121 1.3926 3.9389
Rh Y Sm
2 1 1
direct
0.2500 0.2500 0.2500
0.7500 0.7500 0.7500
0.5000 0.5000 0.5000
0.0000 0.0000 0.0000
```

=====

| no. | calculated volume (Å³/atom) |
| --- | --- |
| 1 | 16.5 |
| 2 | 19.8 |